# 1
LiCaAcOs, optimized geometry, DFT PBE; V = 96.7 Å³ per cell; energy of formation from the pure elements = 0.142 eV per atom
1.0
-2.510 0.312 4.490
-2.947 -3.920 1.583
1.492 -2.896 3.992
Ca Li Os Ac
1 1 1 1
Cartesian
0.000 0.000 0.000
-2.973 -4.878 7.548
-0.991 -1.626 2.516
-1.982 -3.252 5.032

---

# 2
Ta2CdPb, optimized geometry, DFT PBE; V = 83.1 Å³ per cell; energy of formation from the pure elements = 0.522 eV per atom
1.0
-2.066 3.705 -3.437
-3.787 3.809 -0.982
2.743 4.227 1.744
Cd Pb Ta
1 1 2
Cartesian
-1.509 5.812 -1.303
-0.799 3.007 -0.687
-2.232 8.823 -1.937
2.618 4.197 1.658

---

Which value of V does entry 1 give? 96.7 Å³ per cell

---

energy of formation from the pure elements of number 2 (Ta2CdPb)? 0.522 eV per atom

---

Which of these has the highest V? LiCaAcOs

---

V of number 2 (Ta2CdPb)? 83.1 Å³ per cell